Record 1
Here is a relaxed structure of GdFeC2 from the Alexandria database. Energies are from GGA-PBEsol.

a b c (Å): 3.6846 3.6846 3.6671
angles (deg): 90.00 90.00 104.54
Each line ends with the local moment (μB).
Positions (direct):
Fe 0.6133 0.3867 0.5000  -0.81
C 0.4544 0.8576 0.5000  -0.01
Gd 0.0049 0.9951 0.0000  6.90
C 0.1424 0.5456 0.5000  -0.01

The symmetry is Amm2. Its raw total energy is -10.99 eV per atom.


Record 2
Here is a relaxed structure of CsRhI2N from the Alexandria database. Energies are from GGA-PBEsol.

a b c (Å): 3.7339 5.9605 5.9605
angles (deg): 90.00 90.00 90.00
Positions (direct):
Rh 0.0000 0.0000 0.0000
N 0.5000 0.0000 0.0000
I 0.0000 0.0000 0.5000
Cs 0.5000 0.5000 0.5000
I 0.0000 0.5000 0.0000

The symmetry is P4/mmm. Its raw total energy is -4.43 eV per atom.


Record 3
Here is a relaxed structure of La3Cr2N6 from the Alexandria database. Energies are from GGA-PBEsol.

a b c (Å): 3.8010 3.8010 10.2511
angles (deg): 100.68 100.68 90.00
Each line ends with the local moment (μB).
Positions (direct):
N 0.4130 0.9130 0.8261  -0.02
N 0.0870 0.5870 0.1739  -0.02
N 0.6931 0.6931 0.3861  0.01
La 0.0000 0.0000 0.0000  0.01
La 0.8209 0.8209 0.6417  0.02
N 0.9130 0.4130 0.8261  -0.02
Cr 0.6019 0.6019 0.2037  0.42
N 0.5870 0.0870 0.1739  -0.02
Cr 0.3981 0.3981 0.7963  0.42
N 0.3069 0.3069 0.6139  0.01
La 0.1791 0.1791 0.3583  0.02

The symmetry is I4/mmm. Its raw total energy is -9.18 eV per atom.


Record 4
Here is a relaxed structure of CuTe from the Alexandria database. Energies are from GGA-PBEsol.

a b c (Å): 4.0471 6.2148 6.2134
angles (deg): 66.67 70.99 71.00
Positions (direct):
Te 0.1073 0.4740 0.3113
Cu 0.9450 0.9705 0.1396
Te 0.4448 0.1988 0.9117
Te 0.7803 0.8021 0.6372
Cu 0.3059 0.9999 0.3884
Cu 0.5834 0.7214 0.1119

The symmetry is Cm. Its raw total energy is -3.94 eV per atom.


Record 5
Here is a relaxed structure of YAl2Os from the Alexandria database. Energies are from GGA-PBEsol.

a b c (Å): 3.9990 3.9990 4.3410
angles (deg): 90.00 90.00 90.00
Positions (direct):
Os 0.5000 0.5000 0.5000
Al 0.5000 0.0000 0.0000
Al 0.0000 0.5000 0.0000
Y 0.0000 0.0000 0.5000

The symmetry is P4/mmm. Its raw total energy is -6.99 eV per atom.


Record 6
Here is a relaxed structure of TaSnBr3 from the Alexandria database. Energies are from GGA-PBEsol.

a b c (Å): 5.0871 5.0871 5.0871
angles (deg): 90.00 90.00 90.00
Each line ends with the local moment (μB).
Positions (direct):
Br 0.5000 0.0000 0.0000  0.01
Sn 0.5000 0.5000 0.5000  0.14
Ta 0.0000 0.0000 0.0000  0.26
Br 0.0000 0.5000 0.0000  0.01
Br 0.0000 0.0000 0.5000  0.01

The symmetry is Pm-3m. Its raw total energy is -4.32 eV per atom.


Record 7
Here is a relaxed structure of BaTiMn2Si2O10 from the Alexandria database. Energies are from GGA-PBEsol.

a b c (Å): 5.2945 6.8068 11.1749
angles (deg): 90.00 94.96 90.00
Each line ends with the local moment (μB).
Positions (direct):
Ti 0.2253 0.2500 0.3347  0.00
O 0.9979 0.0414 0.2853  0.00
Ba 0.2722 0.7500 0.4326  0.00
Si 0.7078 0.9824 0.2457  0.01
O 0.9979 0.4586 0.2853  0.00
O 0.3561 0.9832 0.8998  0.08
O 0.1900 0.7500 0.0676  -0.04
Si 0.7078 0.5176 0.2457  0.01
O 0.3561 0.5168 0.8998  0.08
O 0.0021 0.9586 0.7147  0.00
O 0.3215 0.2500 0.7366  0.01
Si 0.2922 0.4824 0.7543  0.01
O 0.4941 0.5645 0.6659  0.00
O 0.1969 0.2500 0.4865  0.00
Mn 0.0000 0.0000 0.0000  3.99
Mn 0.5054 0.2500 0.9997  3.52
O 0.6785 0.7500 0.2634  0.01
O 0.0021 0.5414 0.7147  0.00
O 0.5059 0.4355 0.3342  0.00
Ba 0.7278 0.2500 0.5674  0.00
O 0.8031 0.7500 0.5135  0.00
O 0.8044 0.7500 0.9364  -0.04
Si 0.2922 0.0176 0.7543  0.01
O 0.6439 0.4832 0.1002  0.08
Mn 0.4946 0.7500 0.0003  3.52
O 0.6439 0.0168 0.1002  0.08
O 0.8100 0.2500 0.9324  -0.04
O 0.1956 0.2500 0.0636  -0.04
Ti 0.7747 0.7500 0.6653  0.00
Mn 0.0000 0.5000 0.0000  3.99
O 0.4941 0.9355 0.6659  0.00
O 0.5059 0.0645 0.3342  0.00

The symmetry is P2_1/m. Its raw total energy is -8.32 eV per atom.


Record 8
Here is a relaxed structure of CrHgAs2 from the Alexandria database. Energies are from GGA-PBEsol.

a b c (Å): 4.4055 4.4003 3.7160
angles (deg): 90.00 90.00 90.00
Each line ends with the local moment (μB).
Positions (direct):
As 0.0000 0.0000 0.0000  -0.09
Cr 0.5000 0.0000 0.5000  3.42
As 0.5000 0.5000 0.0000  -0.09
Hg 0.0000 0.5000 0.5000  -0.03

The symmetry is P4/mmm. Its raw total energy is -4.89 eV per atom.


Record 9
Here is a relaxed structure of NiRuPt2 from the Alexandria database. Energies are from GGA-PBEsol.

a b c (Å): 2.6901 3.7398 5.3724
angles (deg): 90.00 90.00 90.00
Positions (direct):
Pt 0.0000 0.0000 0.9865
Ni 0.5000 0.5000 0.7432
Pt 0.5000 0.5000 0.2632
Ru 0.0000 0.0000 0.5071

The symmetry is Pmm2. Its raw total energy is -7.54 eV per atom.


Record 10
Here is a relaxed structure of MgNb2HgAu from the Alexandria database. Energies are from GGA-PBEsol.

a b c (Å): 4.6419 4.7570 4.7570
angles (deg): 90.00 90.00 90.00
Positions (direct):
Hg 0.5000 0.0000 0.0000
Nb 0.0000 0.0000 0.5000
Au 0.5000 0.5000 0.5000
Mg 0.0000 0.0000 0.0000
Nb 0.0000 0.5000 0.0000

The symmetry is P4/mmm. Its raw total energy is -4.04 eV per atom.


Record 11
Here is a relaxed structure of AgAu3 from the Alexandria database. Energies are from GGA-PBEsol.

a b c (Å): 5.0496 5.0496 5.0496
angles (deg): 90.00 90.00 90.00
Positions (direct):
Au 0.0000 0.5000 0.0000
Au 0.5000 0.0000 0.0000
Au 0.0000 0.0000 0.5000
Ag 0.0000 0.0000 0.0000

The symmetry is Pm-3m. Its raw total energy is -2.50 eV per atom.


Record 12
Here is a relaxed structure of KTe2Os from the Alexandria database. Energies are from GGA-PBEsol.

a b c (Å): 5.0718 5.0718 5.0718
angles (deg): 60.00 60.00 60.00
Each line ends with the local moment (μB).
Positions (direct):
Te 0.0000 0.0000 0.0000  0.00
Te 0.7500 0.7500 0.7500  0.01
Os 0.2500 0.2500 0.2500  0.50
K 0.5000 0.5000 0.5000  0.00

The symmetry is F-43m. Its raw total energy is -3.98 eV per atom.


- Which value of raw total energy does entry 4 give?
  -3.94 eV per atom


- Which of these has the highest raw total energy?
  AgAu3